(1)
Below is a geometry-optimized TmTlHgS3 structure, with properties calculated at the PBE-GGA level.

Unit cell a=8.056 b=4.420 c=16.077 alpha=90.00 beta=90.00 gamma=90.00
Space group Pnma (No. 62)
Inequivalent atoms, fractional coordinates:
Tm (0.223, 0.250, 0.035) (multiplicity 4)
Tl (0.063, 0.250, 0.806) (multiplicity 4)
Hg (0.080, 0.250, 0.345) (multiplicity 4)
S (0.009, 0.750, 0.423) (multiplicity 4)
S (0.124, 0.750, 0.957) (multiplicity 4)
S (0.223, 0.250, 0.202) (multiplicity 4)

Results
Its crystal system is orthorhombic. For the spin magnetization, the calculation gives 0.00 μB per atom. Its relative energy among the computed polymorphs is 120 meV/atom.

(2)
Below is a geometry-optimized Tm2HgS4 structure, with properties calculated at the PBE-GGA level.

Unit cell a=11.194 b=11.194 c=11.194 alpha=90.00 beta=90.00 gamma=90.00
Space group Fd-3m (No. 227, origin choice 2)
Inequivalent atoms, fractional coordinates:
Tm (0.000, 0.000, 0.000) (multiplicity 16)
Hg (0.125, 0.125, 0.625) (multiplicity 8)
S (0.009, 0.009, 0.241) (multiplicity 32)

Results
Its crystal system is cubic. For the spin magnetization, the calculation gives 0.00 μB per atom.

(3)
Below is a geometry-optimized ScHg2Sb structure, with properties calculated at the PBE-GGA level.

Unit cell a=7.314 b=7.314 c=7.314 alpha=90.00 beta=90.00 gamma=90.00
Space group F-43m (No. 216)
Inequivalent atoms, fractional coordinates:
Sc (0.000, 0.000, 0.000) (multiplicity 4)
Hg (0.000, 0.000, 0.500) (multiplicity 4)
Hg (0.250, 0.250, 0.250) (multiplicity 4)
Sb (0.250, 0.250, 0.750) (multiplicity 4)

Results
Its crystal system is cubic. For the spin magnetization, the calculation gives 0.01 μB per atom.

(4)
Below is a geometry-optimized ScHgSb2 structure, with properties calculated at the PBE-GGA level.

Unit cell a=7.354 b=7.354 c=7.354 alpha=90.00 beta=90.00 gamma=90.00
Space group F-43m (No. 216)
Inequivalent atoms, fractional coordinates:
Sc (0.000, 0.000, 0.000) (multiplicity 4)
Hg (0.250, 0.250, 0.250) (multiplicity 4)
Sb (0.000, 0.000, 0.500) (multiplicity 4)
Sb (0.250, 0.250, 0.750) (multiplicity 4)

Results
Its crystal system is cubic. For the spin magnetization, the calculation gives 0.00 μB per atom.

(5)
Below is a geometry-optimized SnHgSb structure, with properties calculated at the PBE-GGA level.

Unit cell a=7.291 b=7.291 c=7.291 alpha=90.00 beta=90.00 gamma=90.00
Space group F-43m (No. 216)
Inequivalent atoms, fractional coordinates:
Sn (0.000, 0.000, 0.000) (multiplicity 4)
Hg (0.000, 0.000, 0.500) (multiplicity 4)
Sb (0.250, 0.250, 0.750) (multiplicity 4)

Results
Its crystal system is cubic. Its relative energy among the computed polymorphs is 0 meV/atom.

(6)
Below is a geometry-optimized SnHg2Sb structure, with properties calculated at the PBE-GGA level.

Unit cell a=7.547 b=7.547 c=7.547 alpha=90.00 beta=90.00 gamma=90.00
Space group F-43m (No. 216)
Inequivalent atoms, fractional coordinates:
Sn (0.000, 0.000, 0.000) (multiplicity 4)
Hg (0.000, 0.000, 0.500) (multiplicity 4)
Hg (0.250, 0.250, 0.250) (multiplicity 4)
Sb (0.250, 0.250, 0.750) (multiplicity 4)

Results
Its crystal system is cubic.

(7)
Below is a geometry-optimized Sn2HgSb structure, with properties calculated at the PBE-GGA level.

Unit cell a=7.543 b=7.543 c=7.543 alpha=90.00 beta=90.00 gamma=90.00
Space group F-43m (No. 216)
Inequivalent atoms, fractional coordinates:
Sn (0.000, 0.000, 0.000) (multiplicity 4)
Sn (0.250, 0.250, 0.250) (multiplicity 4)
Hg (0.000, 0.000, 0.500) (multiplicity 4)
Sb (0.250, 0.250, 0.750) (multiplicity 4)

Results
Its crystal system is cubic.

(8)
Below is a geometry-optimized SrHg2Sb structure, with properties calculated at the PBE-GGA level.

Unit cell a=7.721 b=7.721 c=7.721 alpha=90.00 beta=90.00 gamma=90.00
Space group F-43m (No. 216)
Inequivalent atoms, fractional coordinates:
Sr (0.000, 0.000, 0.000) (multiplicity 4)
Hg (0.000, 0.000, 0.500) (multiplicity 4)
Hg (0.250, 0.250, 0.750) (multiplicity 4)
Sb (0.250, 0.250, 0.250) (multiplicity 4)

Results
Its crystal system is cubic.

(9)
Below is a geometry-optimized SrHg2Sb structure, with properties calculated at the PBE-GGA level.

Unit cell a=7.721 b=7.721 c=7.721 alpha=90.00 beta=90.00 gamma=90.00
Space group F-43m (No. 216)
Inequivalent atoms, fractional coordinates:
Sr (0.000, 0.000, 0.000) (multiplicity 4)
Hg (0.000, 0.000, 0.500) (multiplicity 4)
Hg (0.250, 0.250, 0.250) (multiplicity 4)
Sb (0.250, 0.250, 0.750) (multiplicity 4)

Results
Its crystal system is cubic.

(10)
Below is a geometry-optimized TaHgSb2 structure, with properties calculated at the PBE-GGA level.

Unit cell a=7.172 b=7.172 c=7.172 alpha=90.00 beta=90.00 gamma=90.00
Space group F-43m (No. 216)
Inequivalent atoms, fractional coordinates:
Ta (0.000, 0.000, 0.000) (multiplicity 4)
Hg (0.250, 0.250, 0.250) (multiplicity 4)
Sb (0.000, 0.000, 0.500) (multiplicity 4)
Sb (0.250, 0.250, 0.750) (multiplicity 4)

Results
Its crystal system is cubic. For the spin magnetization, the calculation gives 0.04 μB per atom.

(11)
Below is a geometry-optimized TcHgSb2 structure, with properties calculated at the PBE-GGA level.

Unit cell a=7.039 b=7.039 c=7.039 alpha=90.00 beta=90.00 gamma=90.00
Space group F-43m (No. 216)
Inequivalent atoms, fractional coordinates:
Tc (0.000, 0.000, 0.000) (multiplicity 4)
Hg (0.250, 0.250, 0.250) (multiplicity 4)
Sb (0.000, 0.000, 0.500) (multiplicity 4)
Sb (0.250, 0.250, 0.750) (multiplicity 4)

Results
Its crystal system is cubic. For the spin magnetization, the calculation gives 0.26 μB per atom.

(12)
Below is a geometry-optimized ThHgSb structure, with properties calculated at the PBE-GGA level.

Unit cell a=7.372 b=7.372 c=7.372 alpha=90.00 beta=90.00 gamma=90.00
Space group F-43m (No. 216)
Inequivalent atoms, fractional coordinates:
Th (0.000, 0.000, 0.000) (multiplicity 4)
Hg (0.250, 0.250, 0.750) (multiplicity 4)
Sb (0.250, 0.250, 0.250) (multiplicity 4)

Results
Its crystal system is cubic. For the spin magnetization, the calculation gives 0.00 μB per atom. Its relative energy among the computed polymorphs is 0 meV/atom.

(13)
Below is a geometry-optimized ThHgSb structure, with properties calculated at the PBE-GGA level.

Unit cell a=7.169 b=7.169 c=7.169 alpha=90.00 beta=90.00 gamma=90.00
Space group F-43m (No. 216)
Inequivalent atoms, fractional coordinates:
Th (0.000, 0.000, 0.000) (multiplicity 4)
Hg (0.250, 0.250, 0.750) (multiplicity 4)
Sb (0.000, 0.000, 0.500) (multiplicity 4)

Results
Its crystal system is cubic. For the spin magnetization, the calculation gives 0.00 μB per atom. Its relative energy among the computed polymorphs is 145 meV/atom.

(14)
Below is a geometry-optimized TmHgSb structure, with properties calculated at the PBE-GGA level.

Unit cell a=7.145 b=7.145 c=7.145 alpha=90.00 beta=90.00 gamma=90.00
Space group F-43m (No. 216)
Inequivalent atoms, fractional coordinates:
Tm (0.000, 0.000, 0.000) (multiplicity 4)
Hg (0.250, 0.250, 0.750) (multiplicity 4)
Sb (0.250, 0.250, 0.250) (multiplicity 4)

Results
Its crystal system is cubic. For the spin magnetization, the calculation gives 0.00 μB per atom. Its relative energy among the computed polymorphs is 0 meV/atom.

(15)
Below is a geometry-optimized TmHgSb structure, with properties calculated at the PBE-GGA level.

Unit cell a=7.193 b=7.193 c=7.193 alpha=90.00 beta=90.00 gamma=90.00
Space group F-43m (No. 216)
Inequivalent atoms, fractional coordinates:
Tm (0.000, 0.000, 0.000) (multiplicity 4)
Hg (0.000, 0.000, 0.500) (multiplicity 4)
Sb (0.250, 0.250, 0.750) (multiplicity 4)

Results
Its crystal system is cubic. For the spin magnetization, the calculation gives 0.01 μB per atom. Its relative energy among the computed polymorphs is 328 meV/atom.

(16)
Below is a geometry-optimized UHgSb structure, with properties calculated at the PBE-GGA level.

Unit cell a=7.237 b=7.237 c=7.237 alpha=90.00 beta=90.00 gamma=90.00
Space group F-43m (No. 216)
Inequivalent atoms, fractional coordinates:
U (0.000, 0.000, 0.000) (multiplicity 4)
Hg (0.250, 0.250, 0.750) (multiplicity 4)
Sb (0.250, 0.250, 0.250) (multiplicity 4)

Results
Its crystal system is cubic. For the spin magnetization, the calculation gives 1.00 μB per atom. Its relative energy among the computed polymorphs is 0 meV/atom.

(17)
Below is a geometry-optimized UHgSb structure, with properties calculated at the PBE-GGA level.

Unit cell a=7.068 b=7.068 c=7.068 alpha=90.00 beta=90.00 gamma=90.00
Space group F-43m (No. 216)
Inequivalent atoms, fractional coordinates:
U (0.000, 0.000, 0.000) (multiplicity 4)
Hg (0.250, 0.250, 0.750) (multiplicity 4)
Sb (0.000, 0.000, 0.500) (multiplicity 4)

Results
Its crystal system is cubic. For the spin magnetization, the calculation gives 0.99 μB per atom. Its relative energy among the computed polymorphs is 235 meV/atom.

(18)
Below is a geometry-optimized Hg2SbW structure, with properties calculated at the PBE-GGA level.

Unit cell a=6.961 b=6.961 c=6.961 alpha=90.00 beta=90.00 gamma=90.00
Space group F-43m (No. 216)
Inequivalent atoms, fractional coordinates:
Hg (0.000, 0.000, 0.000) (multiplicity 4)
Hg (0.250, 0.250, 0.250) (multiplicity 4)
Sb (0.000, 0.000, 0.500) (multiplicity 4)
W (0.250, 0.250, 0.750) (multiplicity 4)

Results
Its crystal system is cubic. For the spin magnetization, the calculation gives 0.22 μB per atom.

(19)
Below is a geometry-optimized YHgSb structure, with properties calculated at the PBE-GGA level.

Unit cell a=7.059 b=7.059 c=7.059 alpha=90.00 beta=90.00 gamma=90.00
Space group F-43m (No. 216)
Inequivalent atoms, fractional coordinates:
Y (0.000, 0.000, 0.000) (multiplicity 4)
Hg (0.250, 0.250, 0.750) (multiplicity 4)
Sb (0.000, 0.000, 0.500) (multiplicity 4)

Results
Its crystal system is cubic. For the spin magnetization, the calculation gives 0.00 μB per atom. Its relative energy among the computed polymorphs is 0 meV/atom.

(20)
Below is a geometry-optimized YHg4Sb2 structure, with properties calculated at the PBE-GGA level.

Unit cell a=7.560 b=4.365 c=13.463 alpha=90.00 beta=90.09 gamma=90.00
Space group Cm (No. 8)
Inequivalent atoms, fractional coordinates:
Y (0.000, 0.000, 0.000) (multiplicity 2)
Hg (0.001, 0.000, 0.245) (multiplicity 2)
Hg (0.001, 0.000, 0.783) (multiplicity 2)
Hg (0.167, 0.500, 0.118) (multiplicity 2)
Hg (0.167, 0.500, 0.555) (multiplicity 2)
Sb (0.167, 0.500, 0.347) (multiplicity 2)
Sb (0.334, 0.000, 0.658) (multiplicity 2)

Results
Its crystal system is monoclinic. For the spin magnetization, the calculation gives 0.00 μB per atom.

(21)
Below is a geometry-optimized YHgSb2 structure, with properties calculated at the PBE-GGA level.

Unit cell a=7.534 b=7.534 c=7.534 alpha=90.00 beta=90.00 gamma=90.00
Space group F-43m (No. 216)
Inequivalent atoms, fractional coordinates:
Y (0.000, 0.000, 0.000) (multiplicity 4)
Hg (0.250, 0.250, 0.250) (multiplicity 4)
Sb (0.000, 0.000, 0.500) (multiplicity 4)
Sb (0.250, 0.250, 0.750) (multiplicity 4)

Results
Its crystal system is cubic. For the spin magnetization, the calculation gives 0.00 μB per atom.

(22)
Below is a geometry-optimized YHgSb2 structure, with properties calculated at the PBE-GGA level.

Unit cell a=7.534 b=7.534 c=7.534 alpha=90.00 beta=90.00 gamma=90.00
Space group F-43m (No. 216)
Inequivalent atoms, fractional coordinates:
Y (0.000, 0.000, 0.000) (multiplicity 4)
Hg (0.250, 0.250, 0.250) (multiplicity 4)
Sb (0.000, 0.000, 0.500) (multiplicity 4)
Sb (0.250, 0.250, 0.750) (multiplicity 4)

Results
Its crystal system is cubic. For the spin magnetization, the calculation gives 0.00 μB per atom.

(23)
Below is a geometry-optimized Zn2HgSb structure, with properties calculated at the PBE-GGA level.

Unit cell a=7.043 b=7.043 c=7.043 alpha=90.00 beta=90.00 gamma=90.00
Space group F-43m (No. 216)
Inequivalent atoms, fractional coordinates:
Zn (0.000, 0.000, 0.000) (multiplicity 4)
Zn (0.250, 0.250, 0.250) (multiplicity 4)
Hg (0.250, 0.250, 0.750) (multiplicity 4)
Sb (0.000, 0.000, 0.500) (multiplicity 4)

Results
Its crystal system is cubic.

(24)
Below is a geometry-optimized ZnHgSb2 structure, with properties calculated at the PBE-GGA level.

Unit cell a=7.361 b=7.361 c=7.361 alpha=90.00 beta=90.00 gamma=90.00
Space group F-43m (No. 216)
Inequivalent atoms, fractional coordinates:
Zn (0.000, 0.000, 0.000) (multiplicity 4)
Hg (0.250, 0.250, 0.250) (multiplicity 4)
Sb (0.000, 0.000, 0.500) (multiplicity 4)
Sb (0.250, 0.250, 0.750) (multiplicity 4)

Results
Its crystal system is cubic.

(25)
Below is a geometry-optimized ZnHgSb structure, with properties calculated at the PBE-GGA level.

Unit cell a=6.652 b=6.652 c=6.652 alpha=90.00 beta=90.00 gamma=90.00
Space group F-43m (No. 216)
Inequivalent atoms, fractional coordinates:
Zn (0.000, 0.000, 0.000) (multiplicity 4)
Hg (0.250, 0.250, 0.750) (multiplicity 4)
Sb (0.250, 0.250, 0.250) (multiplicity 4)

Results
Its crystal system is cubic. Its relative energy among the computed polymorphs is 0 meV/atom.

(26)
Below is a geometry-optimized Zr4HgSb3 structure, with properties calculated at the PBE-GGA level.

Unit cell a=6.501 b=6.501 c=12.934 alpha=90.00 beta=90.00 gamma=90.00
Space group I-42m (No. 121)
Inequivalent atoms, fractional coordinates:
Zr (0.242, 0.242, 0.380) (multiplicity 8)
Hg (0.000, 0.000, 0.500) (multiplicity 2)
Sb (0.000, 0.000, 0.000) (multiplicity 2)
Sb (0.000, 0.500, 0.250) (multiplicity 4)

Results
Its crystal system is tetragonal. For the spin magnetization, the calculation gives 0.00 μB per atom.

(27)
Below is a geometry-optimized Sc3Hg5 structure, with properties calculated at the PBE-GGA level.

Unit cell a=9.687 b=7.402 c=9.686 alpha=90.00 beta=90.00 gamma=90.00
Space group Cmcm (No. 63)
Inequivalent atoms, fractional coordinates:
Sc (0.000, 0.042, 0.250) (multiplicity 4)
Sc (0.222, 0.500, 0.000) (multiplicity 8)
Hg (0.000, 0.215, 0.520) (multiplicity 8)
Hg (0.000, 0.454, 0.250) (multiplicity 4)
Hg (0.225, 0.253, 0.750) (multiplicity 8)

Results
The formation energy from the elements comes out at -336 meV per atom. Its crystal system is orthorhombic. For the spin magnetization, the calculation gives 0.00 μB per atom.

(28)
Below is a geometry-optimized Sc2Hg5 structure, with properties calculated at the PBE-GGA level.

Unit cell a=10.159 b=10.159 c=3.162 alpha=90.00 beta=90.00 gamma=90.00
Space group P4/mbm (No. 127)
Inequivalent atoms, fractional coordinates:
Sc (0.185, 0.315, 0.000) (multiplicity 4)
Hg (0.000, 0.500, 0.500) (multiplicity 2)
Hg (0.056, 0.796, 0.500) (multiplicity 8)

Results
The formation energy from the elements comes out at -231 meV per atom. Its crystal system is tetragonal. For the spin magnetization, the calculation gives 0.00 μB per atom.

no.,VASP energy (eV/atom)
1,-4.120
2,-5.207
3,-2.889
4,-3.807
5,-2.677
6,-2.098
7,-2.982
8,-1.999
9,-1.999
10,-4.426
11,-3.996
12,-4.206
13,-4.062
14,-3.464
15,-3.137
16,-5.076
17,-4.841
18,-3.452
19,-3.922
20,-2.130
21,-4.005
22,-4.005
23,-1.500
24,-2.226
25,-1.794
26,-5.530
27,-2.895
28,-2.252